No. 1
# ScFe2Br

A relaxed ScFe2Br crystal (GGA-PBE, Alexandria).

Results
Relative energy among the computed polymorphs in eV/atom: 0.327
DFT total energy in eV per atom: -6.007
Raw formation energy in eV per atom: 0.225

Cell: 3.3151 4.1768 11.7458 Å, 90.00 90.00 90.00°
Space group Imm2 (No. 44)
One atom of each set of equivalent atoms:
Sc (0.0000, 0.0000, 0.0000) x2
Fe (0.0000, 0.0000, 0.4899) x2
Fe (0.0000, 0.5000, 0.8506) x2
Br (0.0000, 0.5000, 0.1692) x2



No. 2
# ScFe2Br

A relaxed ScFe2Br crystal (GGA-PBE, Alexandria).

Results
Relative energy among the computed polymorphs in eV/atom: 0.027
DFT total energy in eV per atom: -6.308
Raw formation energy in eV per atom: -0.075

Cell: 3.1880 3.1880 7.7797 Å, 90.00 90.00 90.00°
Space group P4mm (No. 99)
One atom of each set of equivalent atoms:
Sc (0.0000, 0.0000, 0.0000) x1
Fe (0.0000, 0.0000, 0.6471) x1
Fe (0.5000, 0.5000, 0.7810) x1
Br (0.5000, 0.5000, 0.2239) x1



No. 3
# Sc2FeBr

A relaxed Sc2FeBr crystal (GGA-PBE, Alexandria).

Results
Relative energy among the computed polymorphs in eV/atom: 0.061
DFT total energy in eV per atom: -6.138
Raw formation energy in eV per atom: -0.439

Cell: 6.6200 3.3364 7.6676 Å, 90.00 105.99 90.00°
Space group C2/m (No. 12)
One atom of each set of equivalent atoms:
Sc (0.2270, 0.0000, 0.3069) x4
Fe (0.0000, 0.0000, 0.5000) x2
Br (0.0000, 0.5000, 0.0000) x2



No. 4
# Sc2FeBr

A relaxed Sc2FeBr crystal (GGA-PBE, Alexandria).

Results
Relative energy among the computed polymorphs in eV/atom: 0.505
DFT total energy in eV per atom: -5.694
Raw formation energy in eV per atom: 0.006

Cell: 4.4409 4.4409 7.7559 Å, 90.00 90.00 90.00°
Space group I4/mmm (No. 139)
One atom of each set of equivalent atoms:
Sc (0.0000, 0.5000, 0.2500) x4
Fe (0.0000, 0.0000, 0.0000) x2
Br (0.0000, 0.0000, 0.5000) x2



No. 5
# Sc2FeBr

A relaxed Sc2FeBr crystal (GGA-PBE, Alexandria).

Results
Relative energy among the computed polymorphs in eV/atom: 0.000
DFT total energy in eV per atom: -6.199
Raw formation energy in eV per atom: -0.499

Cell: 3.1904 3.2554 7.7310 Å, 90.00 90.00 90.00°
Space group Pmmm (No. 47)
One atom of each set of equivalent atoms:
Sc (0.0000, 0.0000, 0.1936) x2
Fe (0.5000, 0.5000, 0.0000) x1
Br (0.5000, 0.0000, 0.5000) x1



No. 6
# Sc2FeBr

A relaxed Sc2FeBr crystal (GGA-PBE, Alexandria).

Results
Relative energy among the computed polymorphs in eV/atom: 0.519
DFT total energy in eV per atom: -5.679
Raw formation energy in eV per atom: 0.020

Cell: 3.8144 3.8144 10.5093 Å, 90.00 90.00 90.00°
Space group I-4m2 (No. 119)
One atom of each set of equivalent atoms:
Sc (0.0000, 0.0000, 0.0000) x2
Sc (0.0000, 0.5000, 0.2500) x2
Fe (0.0000, 0.0000, 0.5000) x2
Br (0.0000, 0.5000, 0.7500) x2



Q: Which D(E_F) values were calculated for the entries above? A: 0.79; 0.70; 0.57; 1.12; 0.58; 1.28, in states/eV per atom.